{"formula": "Sm2TmPt3", "functional": "PBE-GGA", "state": "relaxed", "dft_energy_ry_per_atom": -0.47304, "formation_energy_mev_per_atom": -1097, "cell": [[-2.5381, -1.6605, 2.7994], [-1.8034, -3.8702, -3.9307], [6.6162, -1.0818, 2.3141]], "species": ["Sm", "Sm", "Tm", "Pt", "Pt", "Pt"], "frac_coords": [[0.6684, 0.1684, 0.3369], [0.3316, 0.8316, 0.6631], [0.0000, 0.5000, 0.0000], [0.3404, 0.3404, 0.6808], [0.0000, 0.0000, 0.0000], [0.6596, 0.6596, 0.3192]]}

---

{"formula": "CdNi2Se", "functional": "PBE-GGA", "state": "relaxed", "dft_energy_ry_per_atom": -0.28959, "de_polymorph_mev_per_atom": 85, "cell": [[3.0844, 0.0000, 0.0000], [0.0000, 3.0844, 0.0000], [0.0000, 0.0000, 6.2866]], "species": ["Cd", "Ni", "Ni", "Se"], "frac_coords": [[0.5000, 0.5000, 0.7500], [0.0000, 0.0000, 0.0403], [0.0000, 0.0000, 0.4597], [0.5000, 0.5000, 0.2500]]}

---

{"formula": "RbCa2Au3", "functional": "PBE-GGA", "state": "relaxed", "dft_energy_ry_per_atom": -0.22686, "formation_energy_mev_per_atom": -619, "cell": [[3.7832, 0.0000, 0.0000], [0.0000, 3.7832, 0.0000], [0.0000, 0.0000, 11.6753]], "species": ["Rb", "Ca", "Ca", "Au", "Au", "Au"], "frac_coords": [[0.5000, 0.5000, 0.5000], [0.5000, 0.5000, 0.8503], [0.5000, 0.5000, 0.1497], [0.0000, 0.0000, 0.0000], [0.0000, 0.0000, 0.7217], [0.0000, 0.0000, 0.2783]]}

---

{"formula": "ZrMoBr4", "functional": "PBE-GGA", "state": "relaxed", "dft_energy_ry_per_atom": -0.23291, "cell": [[3.3274, -5.0177, 0.8424], [0.7846, -2.2216, 5.6042], [-2.7001, -5.2025, 1.6131]], "species": ["Zr", "Mo", "Br", "Br", "Br", "Br"], "frac_coords": [[0.0000, 0.0000, 0.0000], [0.7500, 0.7500, 0.7500], [0.8755, 0.3748, 0.3748], [0.3748, 0.3748, 0.8755], [0.3748, 0.8755, 0.3748], [0.3748, 0.3748, 0.3748]]}

---

{"formula": "Pm4SbRu2", "functional": "PBE-GGA", "state": "relaxed", "dft_energy_ry_per_atom": -0.47018, "cell": [[-2.3462, 4.8560, 3.5351], [-7.0234, -4.4254, -2.5929], [5.0673, -4.0840, 5.0923]], "species": ["Pm", "Pm", "Pm", "Pm", "Pm", "Pm", "Pm", "Pm", "Sb", "Sb", "Ru", "Ru", "Ru", "Ru"], "frac_coords": [[0.0923, 0.3168, 0.3960], [0.3772, 0.4452, 0.0806], [0.7764, 0.5941, 0.5808], [0.7207, 0.1722, 0.8736], [0.5466, 0.1145, 0.4191], [0.0972, 0.0486, 0.6264], [0.4457, 0.7638, 0.9197], [0.9462, 0.6710, 0.1044], [0.3624, 0.7528, 0.5013], [0.1106, 0.0016, 0.9986], [0.4989, 0.4016, 0.7424], [0.6762, 0.8206, 0.3324], [0.5932, 0.2379, 0.1672], [0.0063, 0.4093, 0.7575]]}

---

{"formula": "PmNdCl6", "functional": "PBE-GGA", "state": "relaxed", "dft_energy_ry_per_atom": -0.35032, "de_polymorph_mev_per_atom": 49, "cell": [[6.1634, 0.0000, 3.4705], [3.0817, 6.0939, 1.7352], [2.1001, 0.0000, 9.7141]], "species": ["Pm", "Nd", "Cl", "Cl", "Cl", "Cl", "Cl", "Cl"], "frac_coords": [[0.5000, 0.0000, 0.5000], [0.0000, 0.0000, 0.0000], [0.0288, 0.7098, 0.2609], [0.7387, 0.2902, 0.2609], [0.2613, 0.7098, 0.7391], [0.9712, 0.2902, 0.7391], [0.4759, 0.0000, 0.2348], [0.5241, 0.0000, 0.7652]]}

---

{"formula": "Sm5Y6Er2", "functional": "PBE-GGA", "state": "relaxed", "dft_energy_ry_per_atom": -0.39718, "formation_energy_mev_per_atom": 96, "cell": [[-1.1698, -1.6115, 2.9855], [0.3013, -10.3308, -5.4582], [19.3903, -2.6833, 6.1493]], "species": ["Sm", "Sm", "Sm", "Sm", "Sm", "Sm", "Sm", "Sm", "Sm", "Sm", "Y", "Y", "Y", "Y", "Y", "Y", "Y", "Y", "Y", "Y", "Y", "Y", "Er", "Er", "Er", "Er"], "frac_coords": [[0.5000, 0.3003, 0.4504], [0.5000, 0.6997, 0.5496], [0.5000, 0.8003, 0.0496], [0.5000, 0.1997, 0.9504], [0.5000, 0.5850, 0.2717], [0.5000, 0.4150, 0.7283], [0.5000, 0.0850, 0.2283], [0.5000, 0.9150, 0.7717], [0.5000, 0.5000, 0.0000], [0.5000, 0.0000, 0.5000], [0.0000, 0.0823, 0.3693], [0.0000, 0.9177, 0.6307], [0.0000, 0.5823, 0.1307], [0.0000, 0.4177, 0.8693], [0.5000, 0.3252, 0.1386], [0.5000, 0.6748, 0.8614], [0.5000, 0.8252, 0.3614], [0.5000, 0.1748, 0.6386], [0.0000, 0.5586, 0.4181], [0.0000, 0.4414, 0.5819], [0.0000, 0.0586, 0.0819], [0.0000, 0.9414, 0.9181], [0.0000, 0.3303, 0.2910], [0.0000, 0.6697, 0.7090], [0.0000, 0.8303, 0.2090], [0.0000, 0.1697, 0.7910]]}

---

{"formula": "RbNbHgRu2", "functional": "PBE-GGA", "state": "relaxed", "dft_energy_ry_per_atom": -0.25600, "formation_energy_mev_per_atom": 2495, "cell": [[-0.5274, 4.7517, 1.6389], [-5.1877, -0.8665, 0.8427], [1.0183, -1.5128, 4.7135]], "species": ["Ru", "Ru", "Nb", "Hg", "Rb"], "frac_coords": [[0.0000, 0.0000, 0.5000], [0.5000, 0.0000, 0.0000], [0.5000, 0.5000, 0.5000], [0.0000, 0.0000, 0.0000], [0.0000, 0.5000, 0.0000]]}

---

> Which formula does entry 7 have?

Sm5Y6Er2

---

Copy entry 1 word for word.
{"formula": "Sm2TmPt3", "functional": "PBE-GGA", "state": "relaxed", "dft_energy_ry_per_atom": -0.47304, "formation_energy_mev_per_atom": -1097, "cell": [[-2.5381, -1.6605, 2.7994], [-1.8034, -3.8702, -3.9307], [6.6162, -1.0818, 2.3141]], "species": ["Sm", "Sm", "Tm", "Pt", "Pt", "Pt"], "frac_coords": [[0.6684, 0.1684, 0.3369], [0.3316, 0.8316, 0.6631], [0.0000, 0.5000, 0.0000], [0.3404, 0.3404, 0.6808], [0.0000, 0.0000, 0.0000], [0.6596, 0.6596, 0.3192]]}